No. 1
Compound: CaCdTeN2
Source: Alexandria
Functional: PBE
Structure: relaxed

Cell and atoms, written as extended XYZ:
```
5
Lattice="4.5808 0.0000 0.0000 0.0000 4.5808 0.0000 0.0000 0.0000 6.4605" Properties=species:S:1:pos:R:3 pbc="T T T"
N 0.0000 2.2904 0.0000
N 2.2904 0.0000 0.0000
Ca 0.0000 0.0000 0.0000
Te 0.0000 0.0000 3.2302
Cd 2.2904 2.2904 3.2302
```

Output
As for the crystal system: tetragonal. As for the raw formation energy: 1.064 eV/atom. The calculation puts the offset from the most stable computed form at 144 meV/atom.



No. 2
Compound: YMnSe2N
Source: Alexandria
Functional: PBE
Structure: relaxed

Cell and atoms, written as extended XYZ:
```
5
Lattice="5.5043 0.0000 0.0000 0.0000 5.5043 0.0000 0.0000 0.0000 4.3519" Properties=species:S:1:pos:R:3 pbc="T T T"
Y 0.0000 0.0000 0.0000
Mn 2.7522 2.7522 2.1759
Se 0.0000 2.7522 0.0000
Se 2.7522 0.0000 0.0000
N 0.0000 0.0000 2.1759
```

Output
As for the crystal system: tetragonal. As for the raw formation energy: 0.268 eV/atom. The calculation puts the offset from the most stable computed form at 906 meV/atom.



No. 3
Compound: BiSO2F
Source: Alexandria
Functional: PBE
Structure: relaxed

Cell and atoms, written as extended XYZ:
```
5
Lattice="-3.2837 -0.4106 -2.8150 -1.2556 -3.6485 1.9968 -2.6430 2.4050 2.7323" Properties=species:S:1:pos:R:3 pbc="T T T"
S -3.5912 -0.8270 0.9571
Bi 0.0000 0.0000 0.0000
O -0.6278 -1.8242 0.9984
O -1.6418 -0.2053 -1.4075
F -1.3215 1.2025 1.3661
```

Output
As for the crystal system: tetragonal. As for the raw formation energy: -0.263 eV/atom.



No. 4
Compound: Pr2CoGe3Ir4
Source: Alexandria
Functional: PBE
Structure: relaxed

Cell and atoms, written as extended XYZ:
```
10
Lattice="-1.4580 3.2789 2.2307 -3.6126 -0.1177 -2.1882 -3.9923 -6.4970 6.9407" Properties=species:S:1:pos:R:3 pbc="T T T"
Pr -1.7440 -0.0124 2.8800
Pr -4.7836 -4.9040 4.0819
Co -4.5315 -1.6679 3.4916
Ge -1.9962 -3.2485 3.4703
Ge -4.1961 -4.0028 7.1429
Ge -2.3316 -0.9136 -0.1810
Ir -2.5353 1.5806 0.0212
Ir 0.0000 0.0000 0.0000
Ir -3.2361 -2.4406 5.4740
Ir -3.2915 -2.4759 1.4880
```

Output
As for the crystal system: tetragonal. Its uncorrected energy is -7.250 eV/atom.



No. 5
Compound: La2HRhAu
Source: Alexandria
Functional: PBE
Structure: relaxed

Cell and atoms, written as extended XYZ:
```
5
Lattice="-2.8314 -3.7217 -2.5577 4.3535 -1.4474 -2.7132 0.8215 -2.4170 2.6076" Properties=species:S:1:pos:R:3 pbc="T T T"
Rh 0.4107 -1.2085 1.3038
Au 1.1718 -3.7931 -1.3317
H 0.0000 0.0000 0.0000
La 2.1768 -0.7237 -1.3566
La -1.4157 -1.8609 -1.2788
```

Output
As for the crystal system: tetragonal. Its uncorrected energy is -5.454 eV/atom.



No. 6
Compound: CeNd2Pb3
Source: Alexandria
Functional: PBE
Structure: relaxed

Cell and atoms, written as extended XYZ:
```
12
Lattice="2.5454 -7.7055 0.0000 2.5454 7.7055 0.0000 0.0000 0.0000 9.2000" Properties=species:S:1:pos:R:3 pbc="T T T"
Ce 2.5454 2.5844 0.0000
Ce 2.5454 -2.5844 0.0000
Nd 0.0000 0.0000 0.0000
Nd 0.0000 0.0000 4.6000
Nd 2.5454 2.5649 4.6000
Nd 2.5454 -2.5649 4.6000
Pb 2.5454 -5.1397 6.9029
Pb 2.5454 0.0000 2.2939
Pb 2.5454 5.1397 2.2972
Pb 2.5454 -5.1397 2.2972
Pb 2.5454 5.1397 6.9029
Pb 2.5454 0.0000 6.9061
```

Output
As for the crystal system: orthorhombic. The calculation puts the offset from the most stable computed form at 0 meV/atom.